Crystalline CdTe2Rh2 at its relaxed geometry. Source: Alexandria via LeMat-Bulk, functional GGA-PBE.

abc: 4.0267 4.0267 8.1737
angles: 75.74 75.74 90.00
Last column: nearest neighbours and their distance in Å.
Atoms (fractional coordinates):
Rh 0.2500 0.7500 0.5000  4 Te 2.62, 4 Rh 2.85
Rh 0.7500 0.2500 0.5000  4 Te 2.62, 4 Rh 2.85
Te 0.3594 0.3594 0.2812  4 Rh 2.62
Te 0.6406 0.6406 0.7188  4 Rh 2.62
Cd 0.0000 0.0000 0.0000  8 Te 3.57

Summary:
E above lowest polymorph, eV/atom: 0.000
Calculated total energy, eV per atom: -4.5417
Total magnetization, μB per atom: 0.00
E_form (uncorrected), eV per atom: -0.161